Entry 1:
Here is an optimized crystal structure of LiTlCd3 from Alexandria. Energies are from GGA-PBE.

a = 5.0678 Å, b = 5.0678 Å, c = 5.0678 Å
α = 90.00°, β = 90.00°, γ = 90.00°
Last column: nearest neighbours and their distance in Å.
Space group Pm-3m (No. 221)
Unique sites:
Li1 0.0000 0.0000 0.0000  6 Cd 2.53
Tl1 0.5000 0.5000 0.5000  12 Cd 3.58
Cd1 0.0000 0.0000 0.5000  2 Li 2.53

Calculated values
**Distance to the lowest polymorph of the same formula**: 0.201 eV/atom
**DOS(E_F)**: 2.4 states/eV per cell
**Energy of formation from the pure elements**: 0.140 eV per atom

Entry 2:
Here is an optimized crystal structure of KSnI2Cl from Alexandria. Energies are from GGA-PBE.

a = 8.7402 Å, b = 8.7402 Å, c = 11.2875 Å
α = 90.00°, β = 90.00°, γ = 90.00°
Last column: nearest neighbours and their distance in Å.
Space group I4cm (No. 108)
Unique sites:
K1 0.0000 0.5000 0.0000  4 I 3.62-3.63
Sn1 0.0000 0.0000 0.2424  1 Cl 2.60
I1 0.1840 0.3160 0.2499  2 Sn 3.20
Cl1 0.0000 0.0000 0.0117  1 Sn 2.60

Calculated values
**Distance to the lowest polymorph of the same formula**: 0.000 eV/atom
**Raw formation energy**: -1.029 eV/atom

Entry 3:
Here is an optimized crystal structure of CsK22Hg6 from Alexandria. Energies are from GGA-PBE.

a = 18.7334 Å, b = 18.7334 Å, c = 18.7334 Å
α = 90.00°, β = 90.00°, γ = 90.00°
Last column: nearest neighbours and their distance in Å.
Space group Fm-3m (No. 225)
Unique sites:
Cs1 0.0000 0.0000 0.0000  12 K 4.57, 6 Hg 4.91
K1 0.0000 0.1725 0.1725  2 Hg 3.64
K2 0.1127 0.1127 0.3873  3 Hg 3.80, 3 K 4.22
K3 0.2500 0.2500 0.2500  4 K 4.46
Hg1 0.0000 0.0000 0.2620  8 K 3.64-3.80

Calculated values
**DOS(E_F)**: 80.7 states/eV per cell
**Energy of formation from the pure elements**: -0.109 eV per atom

Entry 4:
Here is an optimized crystal structure of LaTe2Pd2 from Alexandria. Energies are from GGA-PBE.

a = 8.2256 Å, b = 8.2256 Å, c = 3.4683 Å
α = 90.00°, β = 90.00°, γ = 90.00°
Last column: nearest neighbours and their distance in Å.
Space group P4/mbm (No. 127)
Unique sites:
La1 0.0000 0.0000 0.0000  4 Te 3.10, 2 La 3.47
Te1 0.1566 0.3434 0.0000  6 Pd 2.91-3.01, 2 La 3.10
Pd1 0.1426 0.6426 0.5000  6 Te 2.91-3.01

Calculated values
**Distance to the lowest polymorph of the same formula**: 0.382 eV/atom
**DOS(E_F)**: 8.1 states/eV per cell
**Raw formation energy**: -0.565 eV/atom

| no. | raw total energy (eV per formula unit) |
| --- | --- |
| 1 | -6.3 |
| 2 | -15.2 |
| 3 | -30.0 |
| 4 | -24.4 |